# NaSbSeBr2

NaSbSeBr2 after structural relaxation (PBE-GGA, Alexandria).

As for the density of states at the Fermi level: 1.41 states/eV/f.u. As for the space group: No. 123. The total energy is -3.02 eV per atom. Its excess energy over the best structure of this formula in the dataset is 0.000 eV/atom. As for the formation energy (no corrections): -2.8 eV/f.u.

Cell: 5.740 5.740 5.350 Å, 90.00 90.00 90.00°
Sites, in units of the cell vectors:
1 Na 0.000 0.000 0.000
2 Sb 0.500 0.500 0.500
3 Se 0.500 0.500 0.000
4 Br 0.000 0.500 0.500
5 Br 0.500 0.000 0.500